A geometry-optimized Rb2NaMgBi2 structure, computed with PBE-GGA.

a = 7.4846 Å, b = 7.3069 Å, c = 10.1582 Å
α = 111.08°, β = 111.62°, γ = 90.00°
Closest atoms and distances in Å follow each position.
Element x y z (fractional)
Na 0.0000 0.7500 0.0000  4 Bi 3.26, 2 Na 3.65
Na 0.0000 0.2500 0.0000  4 Bi 3.26, 2 Na 3.65
Rb 0.0652 0.3282 0.6565  5 Bi 3.85-4.05, 2 Na 3.93, 2 Mg 4.02
Rb 0.9348 0.6718 0.3435  5 Bi 3.85-4.05, 2 Na 3.93, 2 Mg 4.02
Rb 0.5912 0.8282 0.6565  5 Bi 3.85-4.05, 2 Na 3.93, 2 Mg 4.02
Rb 0.4088 0.1718 0.3435  5 Bi 3.85-4.05, 2 Na 3.93, 2 Mg 4.02
Bi 0.6232 0.4002 0.8003  2 Mg 3.02, 2 Na 3.26
Bi 0.3768 0.5998 0.1997  2 Mg 3.02, 2 Na 3.26
Bi 0.8229 0.0998 0.1997  2 Mg 3.02, 2 Na 3.26
Bi 0.1771 0.9002 0.8003  2 Mg 3.02, 2 Na 3.26
Mg 0.5000 0.2500 0.0000  4 Bi 3.02
Mg 0.5000 0.7500 0.0000  4 Bi 3.02

formation energy from the elements	-368	meV per atom
density of states at the Fermi level	12.5	states/eV per cell